LaReSb2: optimized geometry, PBE.

a b c (Å): 9.8341 9.8341 9.8341
angles (deg): 20.53 20.53 20.53
With the nearest neighbours (Å) after each atom.
Fractional positions:
1 La 0.4891 0.4891 0.4891  3 Re 3.04
2 Re 0.7437 0.7437 0.7437  3 Sb 2.69
3 Sb 0.2517 0.2517 0.2517  3 La 3.43, 9 Sb 3.46-3.50
4 Sb 0.0155 0.0155 0.0155  3 Re 2.69

Mass density, Mg/m³: 9.23
E, eV/f.u.: -24.39
E_form (uncorrected), eV per atom: 0.31
Crystal system: trigonal